Density functional theory data (PBE) for an optimized crystal structure of Ce2SBr.

a = 4.0112 Å, b = 4.0112 Å, c = 7.5048 Å
α = 74.50°, β = 74.50°, γ = 60.00°
Atoms (fractional coordinates):
S (0.0000, 0.0000, 0.0000)
Br (0.5000, 0.5000, 0.5000)
Ce (0.2611, 0.2611, 0.2166)
Ce (0.7389, 0.7389, 0.7834)

Computed properties:
* total DFT energy (no corrections): -6.004 eV per atom
* polymorph energy (0 for the lowest one): 0.000 eV/atom
* raw formation energy: -1.59 eV per atom
* total magnetic moment: 1.7 μB per formula unit

Density functional theory data (PBE) for an optimized crystal structure of Ce6S5Br.

a = 7.0156 Å, b = 7.0156 Å, c = 7.0078 Å
α = 99.60°, β = 99.60°, γ = 119.94°
Atoms (fractional coordinates):
S (0.8382, 0.1618, 0.5000)
S (0.6673, 0.3327, 0.0000)
S (0.5000, 0.5000, 0.5000)
S (0.3327, 0.6673, 0.0000)
S (0.1618, 0.8382, 0.5000)
Br (0.0000, 0.0000, 0.0000)
Ce (0.4334, 0.0866, 0.2592)
Ce (0.9134, 0.5666, 0.7408)
Ce (0.2612, 0.2612, 0.7429)
Ce (0.7388, 0.7388, 0.2571)
Ce (0.0866, 0.4334, 0.2592)
Ce (0.5666, 0.9134, 0.7408)

Computed properties:
* total DFT energy (no corrections): -6.711 eV per atom
* raw formation energy: -1.89 eV per atom
* total magnetic moment: 3.6 μB per formula unit

Density functional theory data (PBE) for an optimized crystal structure of Ce3SBr7.

a = 6.7921 Å, b = 8.7253 Å, c = 8.7253 Å
α = 120.00°, β = 90.00°, γ = 90.00°
Atoms (fractional coordinates):
Ce (0.7734, 0.4935, 0.5065)
Ce (0.7734, 0.4935, 0.9869)
Ce (0.7734, 0.0131, 0.5065)
S (0.5852, 0.3333, 0.6667)
Br (0.0161, 0.1728, 0.8272)
Br (0.0161, 0.1728, 0.3455)
Br (0.0166, 0.6667, 0.3333)
Br (0.5483, 0.8247, 0.1753)
Br (0.5483, 0.3506, 0.1753)
Br (0.5483, 0.8247, 0.6494)
Br (0.0161, 0.6545, 0.8272)

Computed properties:
* total DFT energy (no corrections): -4.866 eV per atom
* raw formation energy: -1.81 eV per atom
* total magnetic moment: 3.0 μB per formula unit

Density functional theory data (PBE) for an optimized crystal structure of Ce2S2Br.

a = 5.2412 Å, b = 5.2412 Å, c = 10.0470 Å
α = 90.01°, β = 90.00°, γ = 90.00°
Atoms (fractional coordinates):
Ce (0.2500, 0.7501, 0.5927)
Ce (0.7500, 0.2499, 0.4073)
Ce (0.2500, 0.2500, 0.0000)
Ce (0.7500, 0.7500, 0.0000)
S (0.2500, 0.7499, 0.8708)
S (0.7500, 0.2501, 0.1292)
S (0.2500, 0.2500, 0.5000)
S (0.7500, 0.7500, 0.5000)
Br (0.2500, 0.7501, 0.1991)
Br (0.7500, 0.2499, 0.8009)

Computed properties:
* total DFT energy (no corrections): -6.159 eV per atom
* polymorph energy (0 for the lowest one): 0.028 eV/atom
* raw formation energy: -1.80 eV per atom
* total magnetic moment: 2.7 μB per formula unit